Entry 1:
NaScPdPb | PBE | relaxed

Properties
relative energy among the computed polymorphs: 63 meV per atom
space group: F-43m

Cell: 4.9376 4.9376 4.9376 Å, 60.00 60.00 60.00°
With the nearest neighbours (Å) after each atom.
Positions (direct):
Pb 0.0000 0.0000 0.0000  4 Sc 3.02, 4 Na 3.02
Na 0.7500 0.7500 0.7500  4 Pd 3.02, 4 Pb 3.02
Pd 0.5000 0.5000 0.5000  4 Na 3.02, 4 Sc 3.02
Sc 0.2500 0.2500 0.2500  4 Pb 3.02, 4 Pd 3.02



Entry 2:
Ba2Cu5F14 | PBE | relaxed

Properties
space group: C2/c

Cell: 6.5775 9.5410 10.1350 Å, 115.42 90.00 110.16°
With the nearest neighbours (Å) after each atom.
Positions (direct):
F 0.1918 0.0671 0.1320  2 Cu 1.92-2.06
F 0.8082 0.9329 0.8680  2 Cu 1.92-2.06
F 0.3922 0.9394 0.8580  2 Cu 1.90-2.01
F 0.6078 0.0606 0.1420  2 Cu 1.90-2.01
F 0.3608 0.4490 0.3562  1 Cu 1.91
F 0.6392 0.5510 0.6438  1 Cu 1.91
F 0.2321 0.7729 0.1004  2 Cu 1.91-1.92
F 0.9118 0.5510 0.1438  1 Cu 1.91
F 0.9551 0.1607 0.3895  1 Cu 1.95
F 0.5407 0.7729 0.6004  2 Cu 1.91-1.92
F 0.8753 0.0671 0.6320  2 Cu 1.92-2.06
F 0.7944 0.8393 0.1105  1 Cu 1.95
F 0.4528 0.0606 0.6420  2 Cu 1.90-2.01
F 0.7174 0.7185 0.3596  2 Cu 1.89-1.91
F 0.1693 0.5206 0.6089  1 Cu 1.90
F 0.6486 0.4794 0.8911  1 Cu 1.90
F 0.8307 0.4794 0.3911  1 Cu 1.90
F 0.9989 0.2815 0.1404  2 Cu 1.89-1.91
F 0.0449 0.8393 0.6105  1 Cu 1.95
F 0.5472 0.9394 0.3580  2 Cu 1.90-2.01
F 0.1247 0.9329 0.3680  2 Cu 1.92-2.06
F 0.7679 0.2271 0.8996  2 Cu 1.91-1.92
F 0.0882 0.4490 0.8562  1 Cu 1.91
F 0.3514 0.5206 0.1089  1 Cu 1.90
F 0.2826 0.2815 0.6404  2 Cu 1.89-1.91
F 0.4593 0.2271 0.3996  2 Cu 1.91-1.92
F 0.2056 0.1607 0.8895  1 Cu 1.95
F 0.0011 0.7185 0.8596  2 Cu 1.89-1.91
Cu 0.9012 0.0705 0.1404  4 F 1.89-1.95
Cu 0.2957 0.3639 0.4973  4 F 1.90-1.92
Cu 0.9318 0.6361 0.0027  4 F 1.90-1.92
Cu 0.8307 0.9295 0.3596  4 F 1.89-1.95
Cu 0.6376 0.0000 0.7500  6 F 1.91-2.06
Cu 0.7043 0.6361 0.5027  4 F 1.90-1.92
Cu 0.3624 0.0000 0.2500  6 F 1.91-2.06
Cu 0.0682 0.3639 0.9973  4 F 1.90-1.92
Cu 0.1693 0.0705 0.6404  4 F 1.89-1.95
Cu 0.0988 0.9295 0.8596  4 F 1.89-1.95
Ba 0.5422 0.3217 0.1232  8 F 2.58-2.79
Ba 0.2205 0.6783 0.3768  8 F 2.58-2.79
Ba 0.7795 0.3217 0.6232  8 F 2.58-2.79
Ba 0.4578 0.6783 0.8768  8 F 2.58-2.79



Entry 3:
TmPdAu | PBE | relaxed

Properties
DFT formation energy: -0.723 eV per atom
relative energy among the computed polymorphs: 0 meV per atom
space group: F-43m

Cell: 4.5719 4.5719 4.5719 Å, 60.00 60.00 60.00°
With the nearest neighbours (Å) after each atom.
Positions (direct):
Tm 0.5000 0.5000 0.5000  4 Pd 2.80
Pd 0.7500 0.7500 0.7500  4 Tm 2.80, 4 Au 2.80
Au 0.0000 0.0000 0.0000  4 Pd 2.80



Entry 4:
LuOsNO | PBE | relaxed

Properties
relative energy among the computed polymorphs: 178 meV per atom
space group: Pmc2_1

Cell: 3.4692 4.8063 5.9327 Å, 90.00 90.00 90.00°
With the nearest neighbours (Å) after each atom.
Positions (direct):
O 0.5000 0.7528 0.9388  4 Lu 2.20-2.46, 1 Os 2.29
O 0.5000 0.2528 0.0612  4 Lu 2.20-2.46, 1 Os 2.29
N 0.0000 0.4752 0.7280  2 Os 1.90
N 0.0000 0.9752 0.2720  2 Os 1.90
Os 0.5000 0.5173 0.6035  2 N 1.90
Os 0.5000 0.0173 0.3965  2 N 1.90
Lu 0.0000 0.0087 0.8440  4 O 2.20-2.46, 1 N 2.35
Lu 0.0000 0.5087 0.1560  4 O 2.20-2.46, 1 N 2.35



Entry 5:
Li2Sc2InPd2Pb | PBE | relaxed

Properties
space group: P-4m2

Cell: 4.6491 4.6491 6.6402 Å, 90.00 90.00 90.00°
With the nearest neighbours (Å) after each atom.
Positions (direct):
Li 0.0000 0.5000 0.7559  2 In 2.83, 4 Sc 2.83-2.88, 2 Pb 2.88
Li 0.5000 0.0000 0.2441  2 In 2.83, 4 Sc 2.83-2.88, 2 Pb 2.88
Pd 0.0000 0.5000 0.2438  2 In 2.83, 4 Sc 2.83-2.88, 2 Pb 2.88
Pd 0.5000 0.0000 0.7562  2 In 2.83, 4 Sc 2.83-2.88, 2 Pb 2.88
Sc 0.0000 0.0000 0.5000  4 Li 2.88, 4 Pd 2.88
Sc 0.5000 0.5000 0.0000  4 Pd 2.83, 4 Li 2.83
In 0.0000 0.0000 0.0000  4 Pd 2.83, 4 Li 2.83
Pb 0.5000 0.5000 0.5000  4 Li 2.88, 4 Pd 2.88



Entry 6:
CdCuBW | PBE | relaxed

Properties
relative energy among the computed polymorphs: 0 meV per atom
space group: F-43m

Cell: 4.2826 4.2826 4.2826 Å, 60.00 60.00 60.00°
With the nearest neighbours (Å) after each atom.
Positions (direct):
Cd 0.5000 0.5000 0.5000  4 W 2.62, 4 Cu 2.62
B 0.0000 0.0000 0.0000  4 Cu 2.62, 4 W 2.62
Cu 0.7500 0.7500 0.7500  4 B 2.62, 4 Cd 2.62
W 0.2500 0.2500 0.2500  4 Cd 2.62, 4 B 2.62



Entry 7:
ZrZnCo2 | PBE | relaxed

Properties
DFT formation energy: -0.239 eV per atom
space group: P4/mmm

Cell: 4.0592 4.0592 3.3160 Å, 90.00 90.00 90.00°
With the nearest neighbours (Å) after each atom.
Positions (direct):
Co 0.0000 0.5000 0.5000  4 Zr 2.62, 4 Zn 2.62, 4 Co 2.87
Co 0.5000 0.0000 0.5000  4 Zr 2.62, 4 Zn 2.62, 4 Co 2.87
Zr 0.5000 0.5000 0.0000  8 Co 2.62, 4 Zn 2.87
Zn 0.0000 0.0000 0.0000  8 Co 2.62, 4 Zr 2.87



Entry 8:
NaAl2Au2 | PBE | relaxed

Properties
space group: I4/mmm

Cell: 4.2502 4.2502 6.4337 Å, 109.29 109.29 90.00°
With the nearest neighbours (Å) after each atom.
Positions (direct):
Na 0.0000 0.0000 0.0000  8 Au 3.30, 8 Al 3.55
Al 0.2500 0.7500 0.5000  4 Au 2.58
Al 0.7500 0.2500 0.5000  4 Au 2.58
Au 0.3792 0.3792 0.7584  4 Al 2.58, 1 Au 2.75
Au 0.6208 0.6208 0.2416  4 Al 2.58, 1 Au 2.75



Entry 9:
TbHoSe2Cl2 | PBE | relaxed

Properties
space group: Pmm2

Cell: 4.0553 5.6510 8.2762 Å, 90.00 90.00 90.00°
With the nearest neighbours (Å) after each atom.
Positions (direct):
Cl 0.5000 0.0000 0.3501  2 Ho 2.66
Cl 0.0000 0.5000 0.6462  2 Tb 2.68
Se 0.0000 0.5000 0.1071  2 Ho 2.84, 2 Tb 2.89
Se 0.5000 0.0000 0.8967  2 Tb 2.84, 2 Ho 2.87
Ho 0.0000 0.0000 0.1424  2 Cl 2.66, 4 Se 2.84-2.87
Tb 0.5000 0.5000 0.8575  2 Cl 2.68, 4 Se 2.84-2.89



Entry 10:
PrGdAl | PBE | relaxed

Properties
space group: F-43m

Cell: 5.1473 5.1473 5.1473 Å, 60.00 60.00 60.00°
With the nearest neighbours (Å) after each atom.
Positions (direct):
Al 0.2500 0.2500 0.2500  4 Pr 3.15
Gd 0.7500 0.7500 0.7500  4 Pr 3.15
Pr 0.0000 0.0000 0.0000  4 Gd 3.15, 4 Al 3.15



Entry 11:
TlAsIrAu | PBE | relaxed

Properties
relative energy among the computed polymorphs: 0 meV per atom
space group: F-43m

Cell: 4.7313 4.7313 4.7313 Å, 60.00 60.00 60.00°
With the nearest neighbours (Å) after each atom.
Positions (direct):
Ir 0.2500 0.2500 0.2500  4 Tl 2.90, 4 As 2.90
Tl 0.5000 0.5000 0.5000  4 Au 2.90, 4 Ir 2.90
Au 0.7500 0.7500 0.7500  4 As 2.90, 4 Tl 2.90
As 0.0000 0.0000 0.0000  4 Au 2.90, 4 Ir 2.90



Entry 12:
DySbOs | PBE | relaxed

Properties
space group: F-43m

Cell: 4.7488 4.7488 4.7488 Å, 60.00 60.00 60.00°
With the nearest neighbours (Å) after each atom.
Positions (direct):
Dy 0.0000 0.0000 0.0000  4 Os 2.91, 4 Sb 2.91
Os 0.2500 0.2500 0.2500  4 Dy 2.91
Sb 0.7500 0.7500 0.7500  4 Dy 2.91



Entry 13:
Tm2GaAu | PBE | relaxed

Properties
space group: Amm2

Cell: 4.4727 5.7898 5.7898 Å, 37.74 90.00 90.00°
With the nearest neighbours (Å) after each atom.
Positions (direct):
Tm 0.5000 0.1427 0.1427  4 Ga 2.99, 3 Au 3.02-3.09
Tm 0.0000 0.8561 0.8561  3 Ga 2.99-3.11, 4 Au 3.00
Ga 0.0000 0.5828 0.5828  2 Au 2.87, 7 Tm 2.99-3.11
Au 0.5000 0.4184 0.4184  2 Ga 2.87, 7 Tm 3.00-3.09



Entry 14:
TmNi6Ge4 | PBE | relaxed

Properties
space group: P-6m2

Cell: 6.8235 6.8235 3.7443 Å, 90.00 90.00 120.00°
With the nearest neighbours (Å) after each atom.
Positions (direct):
Ge 0.8093 0.1907 0.5000  6 Ni 2.34-2.47
Ge 0.3333 0.6667 0.0000  9 Ni 2.40-2.41
Ge 0.3814 0.1907 0.5000  6 Ni 2.34-2.47
Ge 0.8093 0.6186 0.5000  6 Ni 2.34-2.47
Ni 0.5368 0.0736 0.0000  5 Ge 2.40-2.47, 2 Ni 2.66
Ni 0.5368 0.4632 0.0000  5 Ge 2.40-2.47, 2 Ni 2.66
Ni 0.2044 0.4089 0.5000  4 Ge 2.34-2.41
Ni 0.2044 0.7956 0.5000  4 Ge 2.34-2.41
Ni 0.5911 0.7956 0.5000  4 Ge 2.34-2.41
Ni 0.9264 0.4632 0.0000  5 Ge 2.40-2.47, 2 Ni 2.66
Tm 0.0000 0.0000 0.0000  6 Ge 2.93, 6 Ni 3.06



Entry 15:
LaDy2Ga4Pt | PBE | relaxed

Properties
space group: Amm2

Cell: 6.7027 6.9584 6.9584 Å, 33.73 90.00 90.00°
With the nearest neighbours (Å) after each atom.
Positions (direct):
Ga 0.7420 0.0963 0.0963  1 Ga 2.56, 2 Pt 2.72, 1 Dy 2.86
Ga 0.6856 0.9062 0.9062  2 Ga 2.49-2.56
Ga 0.3144 0.9062 0.9062  2 Ga 2.49-2.56
Ga 0.2580 0.0963 0.0963  1 Ga 2.56, 2 Pt 2.72, 1 Dy 2.86
Dy 0.0000 0.7270 0.7270  6 Ga 3.18, 1 La 3.53
Dy 0.5000 0.2735 0.2735  6 Ga 2.86-2.96
La 0.0000 0.4616 0.4616  8 Ga 3.01-3.21
Pt 0.5000 0.5330 0.5330  8 Ga 2.72-2.91



Entry 16:
Sb3AuCl | PBE | relaxed

Properties
space group: Pm-3m

Cell: 5.2846 5.2846 5.2846 Å, 90.00 90.00 90.00°
With the nearest neighbours (Å) after each atom.
Positions (direct):
Au 0.0000 0.0000 0.0000  12 Sb 3.74
Sb 0.5000 0.0000 0.5000  2 Cl 2.64
Sb 0.0000 0.5000 0.5000  2 Cl 2.64
Sb 0.5000 0.5000 0.0000  2 Cl 2.64
Cl 0.5000 0.5000 0.5000  6 Sb 2.64



Entry 17:
Re2F | PBE | relaxed

Properties
relative energy among the computed polymorphs: 0 meV per atom
space group: Fd-3m

Cell: 5.1138 5.1138 5.1138 Å, 60.00 60.00 60.00°
With the nearest neighbours (Å) after each atom.
Positions (direct):
Re 0.6250 0.1250 0.6250  6 Re 2.56
Re 0.6250 0.6250 0.6250  6 Re 2.56
Re 0.6250 0.6250 0.1250  6 Re 2.56
Re 0.1250 0.6250 0.6250  6 Re 2.56
F 0.0000 0.0000 0.0000  12 Re 3.00, 4 F 3.13
F 0.2500 0.2500 0.2500  12 Re 3.00, 4 F 3.13



Entry 18:
ZnFe2 | PBE | relaxed

Properties
DFT formation energy: 0.166 eV per atom
space group: Fd-3m

Cell: 4.7451 4.7451 4.7451 Å, 60.00 60.00 60.00°
With the nearest neighbours (Å) after each atom.
Positions (direct):
Zn 0.2500 0.2500 0.2500  12 Fe 2.78, 4 Zn 2.91
Zn 0.0000 0.0000 0.0000  12 Fe 2.78, 4 Zn 2.91
Fe 0.6250 0.1250 0.6250  6 Fe 2.37
Fe 0.6250 0.6250 0.1250  6 Fe 2.37
Fe 0.6250 0.6250 0.6250  6 Fe 2.37
Fe 0.1250 0.6250 0.6250  6 Fe 2.37



Entry 19:
ZnSiP2 | PBE | relaxed

Properties
relative energy among the computed polymorphs: 806 meV per atom
space group: Fm-3m

Cell: 4.3808 4.3808 4.3808 Å, 60.00 60.00 60.00°
With the nearest neighbours (Å) after each atom.
Positions (direct):
P 0.7500 0.7500 0.7500  4 Zn 2.68, 4 Si 2.68
P 0.2500 0.2500 0.2500  4 Si 2.68, 4 Zn 2.68
Si 0.0000 0.0000 0.0000  8 P 2.68
Zn 0.5000 0.5000 0.5000  8 P 2.68



Entry 20:
RbErSnSe3 | PBE | relaxed

Properties
space group: Cmcm

Cell: 8.7377 8.7377 11.8791 Å, 90.00 90.00 152.98°
With the nearest neighbours (Å) after each atom.
Positions (direct):
Sn 0.6119 0.3881 0.7500  4 Se 2.77-2.90
Sn 0.3881 0.6119 0.2500  4 Se 2.77-2.90
Er 0.0000 0.0000 0.0000  6 Se 2.82-2.97
Er 0.0000 0.0000 0.5000  6 Se 2.82-2.97
Se 0.6142 0.3858 0.5056  2 Er 2.82, 1 Sn 2.90
Se 0.0016 0.9984 0.7500  2 Sn 2.77, 2 Er 2.97
Se 0.3858 0.6142 0.4944  2 Er 2.82, 1 Sn 2.90
Se 0.6142 0.3858 0.9944  2 Er 2.82, 1 Sn 2.90
Se 0.3858 0.6142 0.0056  2 Er 2.82, 1 Sn 2.90
Se 0.9984 0.0016 0.2500  2 Sn 2.77, 2 Er 2.97
Rb 0.6912 0.3088 0.2500  2 Se 3.31
Rb 0.3088 0.6912 0.7500  2 Se 3.31



Number 1: total energy -4.436 eV/atom. Number 2: total energy -4.462 eV/atom. Number 3: total energy -5.028 eV/atom. Number 4: total energy -8.387 eV/atom. Number 5: total energy -4.784 eV/atom. Number 6: total energy -4.862 eV/atom. Number 7: total energy -6.245 eV/atom. Number 8: total energy -3.438 eV/atom. Number 9: total energy -5.376 eV/atom. Number 10: total energy -3.887 eV/atom. Number 11: total energy -4.287 eV/atom. Number 12: total energy -6.048 eV/atom. Number 13: total energy -4.552 eV/atom. Number 14: total energy -5.620 eV/atom. Number 15: total energy -4.604 eV/atom. Number 16: total energy -2.538 eV/atom. Number 17: total energy -7.857 eV/atom. Number 18: total energy -5.795 eV/atom. Number 19: total energy -3.885 eV/atom. Number 20: total energy -4.512 eV/atom.